Entry 1:
Crystalline CoIrRu2 at its relaxed geometry, computed with GGA-PBE.

Lattice parameters (Å, degrees): 2.663 2.663 8.941 90.00 90.00 118.33
Element x y z (fractional)
Ir  0.500  0.500  0.741
Ru  0.000  0.000  0.003
Ru  0.500  0.500  0.257
Co  0.000  0.000  0.498

## Properties
As for the formation energy: 0.401 eV/atom. For the electronic total energy, the calculation gives -8.228 eV per atom.


Entry 2:
Crystalline Sm6Os2RhBr3 at its relaxed geometry, computed with GGA-PBE.

Lattice parameters (Å, degrees): 7.065 7.065 8.114 98.35 98.35 120.01
Element x y z (fractional)
Sm  0.404  0.065  0.196
Sm  0.596  0.935  0.804
Sm  0.273  0.273  0.804
Sm  0.727  0.727  0.196
Sm  0.935  0.596  0.804
Sm  0.065  0.404  0.196
Br  0.168  0.832  0.500
Br  0.832  0.168  0.500
Br  0.500  0.500  0.500
Os  0.667  0.333  0.000
Os  0.333  0.667  0.000
Rh  0.000  0.000  0.000

## Properties
For the uncorrected formation energy, the calculation gives -799 meV/atom. For the electronic total energy, the calculation gives -6.061 eV per atom.